Computed, not measured: a crystal of MoHSe3 relaxed with PBEsol at the SCAN level of DFT.

abc: 4.868 4.868 4.868
angles: 90.00 90.00 90.00
Last column: magnetic moment on the atom in μB.
Sites, in units of the cell vectors:
H (0.500, 0.500, 0.500)  0.36
Mo (0.000, 0.000, 0.000)  0.02
Se (0.000, 0.500, 0.000)  0.02
Se (0.000, 0.000, 0.500)  0.02
Se (0.500, 0.000, 0.000)  0.02

Results
The calculation puts the density of states at the Fermi level at 0.75 states/eV per atom. The calculation puts the total magnetization at 1.01 μB/f.u. As for the total DFT energy (no corrections): -19.121 eV/atom.

---

Computed, not measured: a crystal of SrMoHSe2 relaxed with PBEsol at the SCAN level of DFT.

abc: 4.695 4.695 6.310
angles: 90.00 90.00 90.00
Sites, in units of the cell vectors:
Sr (0.000, 0.000, 0.500)
Mo (0.000, 0.000, 0.000)
Se (0.000, 0.500, 0.000)
Se (0.500, 0.000, 0.000)
H (0.500, 0.500, 0.500)

Results
The calculation puts the density of states at the Fermi level at 0.64 states/eV per atom. The calculation puts the total magnetization at 0.00 μB/f.u. As for the total DFT energy (no corrections): -20.087 eV/atom.

---

Computed, not measured: a crystal of SnMo2H relaxed with PBEsol at the SCAN level of DFT.

abc: 4.370 4.370 4.370
angles: 60.00 60.00 60.00
Sites, in units of the cell vectors:
H (0.000, 0.000, 0.000)
Mo (0.250, 0.250, 0.250)
Mo (0.750, 0.750, 0.750)
Sn (0.500, 0.500, 0.500)

Results
The calculation puts the density of states at the Fermi level at 1.30 states/eV per atom. The calculation puts the total magnetization at 0.01 μB/f.u. As for the total DFT energy (no corrections): -26.162 eV/atom.

---

Computed, not measured: a crystal of Ta2MoH2 relaxed with PBEsol at the SCAN level of DFT.

abc: 3.220 3.220 5.843
angles: 105.99 105.99 90.00
Sites, in units of the cell vectors:
H (0.250, 0.750, 0.500)
H (0.750, 0.250, 0.500)
Mo (0.000, 0.000, 0.000)
Ta (0.355, 0.355, 0.710)
Ta (0.645, 0.645, 0.290)

Results
The calculation puts the density of states at the Fermi level at 0.27 states/eV per atom. The calculation puts the total magnetization at 0.00 μB/f.u. As for the total DFT energy (no corrections): -35.151 eV/atom.

---

Computed, not measured: a crystal of TaMoH2 relaxed with PBEsol at the SCAN level of DFT.

abc: 3.799 3.799 3.799
angles: 60.00 60.00 60.00
Sites, in units of the cell vectors:
H (0.250, 0.250, 0.250)
H (0.750, 0.750, 0.750)
Mo (0.000, 0.000, 0.000)
Ta (0.500, 0.500, 0.500)

Results
The calculation puts the density of states at the Fermi level at 0.52 states/eV per atom. The calculation puts the total magnetization at 0.00 μB/f.u. As for the total DFT energy (no corrections): -26.418 eV/atom.

---

Computed, not measured: a crystal of Tc3MoH relaxed with PBEsol at the SCAN level of DFT.

abc: 3.899 3.899 3.899
angles: 90.00 90.00 90.00
Sites, in units of the cell vectors:
H (0.000, 0.000, 0.000)
Mo (0.500, 0.500, 0.500)
Tc (0.000, 0.500, 0.000)
Tc (0.000, 0.000, 0.500)
Tc (0.500, 0.000, 0.000)

Results
The calculation puts the density of states at the Fermi level at 0.86 states/eV per atom. The calculation puts the total magnetization at 0.00 μB/f.u. As for the total DFT energy (no corrections): -28.617 eV/atom.

---

Computed, not measured: a crystal of TeMoH3 relaxed with PBEsol at the SCAN level of DFT.

abc: 3.666 3.666 3.666
angles: 90.00 90.00 90.00
Last column: magnetic moment on the atom in μB.
Sites, in units of the cell vectors:
H (0.000, 0.500, 0.000)  -0.01
H (0.000, 0.000, 0.500)  -0.01
H (0.500, 0.000, 0.000)  -0.01
Mo (0.000, 0.000, 0.000)  0.93
Te (0.500, 0.500, 0.500)  -0.06

Results
The calculation puts the density of states at the Fermi level at 0.34 states/eV per atom. The calculation puts the total magnetization at 0.78 μB/f.u. As for the total DFT energy (no corrections): -15.934 eV/atom.

---

Computed, not measured: a crystal of Ti2MoH2 relaxed with PBEsol at the SCAN level of DFT.

abc: 3.183 3.183 5.528
angles: 106.73 106.73 90.00
Sites, in units of the cell vectors:
H (0.250, 0.750, 0.500)
H (0.750, 0.250, 0.500)
Mo (0.000, 0.000, 0.000)
Ti (0.353, 0.353, 0.706)
Ti (0.647, 0.647, 0.294)

Results
The calculation puts the density of states at the Fermi level at 0.68 states/eV per atom. The calculation puts the total magnetization at 0.00 μB/f.u. As for the total DFT energy (no corrections): -15.101 eV/atom.

---

Number 1: volume 23.1 Å³ per atom. Number 2: volume 27.8 Å³ per atom. Number 3: volume 14.8 Å³ per atom. Number 4: volume 11.2 Å³ per atom. Number 5: volume 9.7 Å³ per atom. Number 6: volume 11.9 Å³ per atom. Number 7: volume 9.9 Å³ per atom. Number 8: volume 10.2 Å³ per atom.